Here is crystalline LaEr4Tm10 at its relaxed geometry from the Alexandria database. Energies are from PBE.

Structure (POSCAR):
```
LaEr4Tm10
1.0
-0.128 -10.559 -0.271
2.173 -5.140 -6.624
6.426 -5.415 2.099
La Er Tm
1 4 10
direct
0.000 0.000 0.000 La
0.552 0.661 0.235 Er
0.787 0.765 0.661 Er
0.213 0.235 0.339 Er
0.448 0.339 0.765 Er
0.250 0.500 0.500 Tm
0.708 0.341 0.905 Tm
0.951 0.095 0.341 Tm
0.387 0.905 0.659 Tm
0.954 0.659 0.095 Tm
0.292 0.659 0.095 Tm
0.750 0.500 0.500 Tm
0.046 0.341 0.905 Tm
0.613 0.095 0.341 Tm
0.049 0.905 0.659 Tm
```

- Magnetic moment: 0.00 μB per formula unit
- Final energy: -4.021 eV/atom
- Calculated formation energy: 0.505 eV/atom

Here is crystalline Zr3HRh at its relaxed geometry from the Alexandria database. Energies are from PBE.

Structure (POSCAR):
```
Zr3HRh
1.0
7.179 -1.527 0.470
2.263 3.919 0.996
3.642 1.793 6.221
Zr H Rh
6 2 2
direct
0.775 0.411 0.701 Zr
0.103 0.752 0.697 Zr
0.433 0.096 0.688 Zr
0.225 0.589 0.299 Zr
0.897 0.248 0.303 Zr
0.567 0.904 0.312 Zr
0.893 0.741 0.313 H
0.107 0.259 0.687 H
0.344 0.335 0.993 Rh
0.656 0.665 0.007 Rh
```

- Magnetic moment: 0.00 μB per formula unit
- Final energy: -7.727 eV/atom
- Energy relative to the lowest polymorph listed for this composition: 0 meV/atom

Here is crystalline ZnOsSe2 at its relaxed geometry from the Alexandria database. Energies are from PBE.

Structure (POSCAR):
```
ZnOsSe2
1.0
5.828 0.000 0.000
0.000 5.828 0.000
2.914 2.914 5.303
Zn Os Se
2 2 4
direct
0.500 0.500 0.000 Zn
0.250 0.750 0.500 Zn
0.000 0.000 0.000 Os
0.750 0.250 0.500 Os
0.639 0.125 0.250 Se
0.111 0.625 0.250 Se
0.375 0.361 0.750 Se
0.875 0.889 0.750 Se
```

- Magnetic moment: 0.00 μB per formula unit
- Final energy: -4.690 eV/atom

Here is crystalline CsAg2Ge2 at its relaxed geometry from the Alexandria database. Energies are from PBE.

Structure (POSCAR):
```
CsAg2Ge2
1.0
-2.777 3.624 -2.060
-3.794 -1.172 3.052
-1.533 4.529 3.943
Cs Ge Ag
1 2 2
direct
0.000 0.000 0.000 Cs
0.376 0.376 0.248 Ge
0.624 0.624 0.752 Ge
0.750 0.250 0.500 Ag
0.250 0.750 0.500 Ag
```

- Magnetic moment: 0.00 μB per formula unit
- Final energy: -3.056 eV/atom
- Energy relative to the lowest polymorph listed for this composition: 0 meV/atom
- Calculated formation energy: 0.102 eV/atom

Here is crystalline Cr2PbCl at its relaxed geometry from the Alexandria database. Energies are from PBE.

Structure (POSCAR):
```
Cr2PbCl
1.0
3.683 0.000 0.000
0.000 3.363 0.012
0.000 -0.109 7.521
Pb Cr Cl
1 2 1
direct
0.000 0.382 0.424 Pb
0.000 0.874 0.093 Cr
0.500 0.375 0.118 Cr
0.500 0.869 0.866 Cl
```

- Magnetic moment: 0.04 μB per formula unit
- Final energy: -6.035 eV/atom
- Energy relative to the lowest polymorph listed for this composition: 100 meV/atom

Here is crystalline CaZn2Cu at its relaxed geometry from the Alexandria database. Energies are from PBE.

Structure (POSCAR):
```
CaZn2Cu
1.0
-2.289 -3.049 -1.880
1.465 -2.312 1.966
-3.502 -0.063 4.366
Zn Ca Cu
2 1 1
direct
0.000 0.902 0.000 Zn
0.500 0.145 0.205 Zn
0.000 0.518 0.527 Ca
0.500 0.936 0.768 Cu
```

- Magnetic moment: 0.00 μB per formula unit
- Final energy: -2.211 eV/atom
- Calculated formation energy: -0.049 eV/atom

Here is crystalline TbDy2CdRh4 at its relaxed geometry from the Alexandria database. Energies are from PBE.

Structure (POSCAR):
```
TbDy2CdRh4
1.0
4.776 0.000 0.000
2.388 4.136 0.000
2.388 1.379 7.770
Tb Dy Cd Rh
1 2 1 4
direct
0.000 0.000 0.000 Tb
0.757 0.757 0.730 Dy
0.243 0.243 0.270 Dy
0.500 0.500 0.500 Cd
0.375 0.375 0.875 Rh
0.878 0.878 0.367 Rh
0.122 0.122 0.633 Rh
0.625 0.625 0.125 Rh
```

- Magnetic moment: 0.00 μB per formula unit
- Final energy: -6.263 eV/atom
- Calculated formation energy: -0.744 eV/atom

Here is crystalline OsPt2Cl at its relaxed geometry from the Alexandria database. Energies are from PBE.

Structure (POSCAR):
```
OsPt2Cl
1.0
-2.071 1.585 0.929
-3.029 -2.559 -2.388
-2.644 -4.753 2.213
Cl Os Pt
1 1 2
direct
0.500 0.500 0.500 Cl
0.000 0.000 0.500 Os
0.000 0.000 0.000 Pt
0.500 0.500 0.000 Pt
```

- Magnetic moment: 0.00 μB per formula unit
- Final energy: -5.438 eV/atom
- Energy relative to the lowest polymorph listed for this composition: 552 meV/atom

Here is crystalline Ho5Er at its relaxed geometry from the Alexandria database. Energies are from PBE.

Structure (POSCAR):
```
Ho5Er
1.0
3.604 0.000 0.000
-1.802 6.142 -1.810
0.000 0.547 8.351
Ho Er
5 1
direct
0.000 0.000 0.000 Ho
0.667 0.334 0.333 Ho
0.333 0.666 0.667 Ho
0.389 0.778 0.277 Ho
0.055 0.111 0.611 Ho
0.722 0.444 0.945 Er
```

- Magnetic moment: 0.00 μB per formula unit
- Final energy: -4.573 eV/atom
- Energy relative to the lowest polymorph listed for this composition: 0 meV/atom
- Calculated formation energy: 0.002 eV/atom

Here is crystalline Sm4CoPt at its relaxed geometry from the Alexandria database. Energies are from PBE.

Structure (POSCAR):
```
Sm4CoPt
1.0
6.145 -0.470 -1.692
-2.883 7.009 -2.900
-0.441 -0.598 8.081
Sm Co Pt
8 2 2
direct
0.785 0.654 0.772 Sm
0.102 0.948 0.311 Sm
0.715 0.228 0.346 Sm
0.398 0.689 0.052 Sm
0.602 0.311 0.948 Sm
0.285 0.772 0.654 Sm
0.898 0.052 0.689 Sm
0.215 0.346 0.228 Sm
0.250 0.007 0.993 Co
0.750 0.993 0.007 Co
0.750 0.637 0.363 Pt
0.250 0.363 0.637 Pt
```

- Magnetic moment: 0.00 μB per formula unit
- Final energy: -5.772 eV/atom
- Energy relative to the lowest polymorph listed for this composition: 0 meV/atom
- Calculated formation energy: -0.435 eV/atom

Here is crystalline TbAsPb at its relaxed geometry from the Alexandria database. Energies are from PBE.

Structure (POSCAR):
```
TbAsPb
1.0
5.136 0.000 0.000
2.568 4.448 0.000
2.568 1.483 7.733
As Pb Tb
2 2 2
direct
0.277 0.277 0.170 As
0.723 0.723 0.830 As
0.150 0.150 0.549 Pb
0.850 0.850 0.451 Pb
0.398 0.398 0.805 Tb
0.602 0.602 0.195 Tb
```

- Magnetic moment: 0.00 μB per formula unit
- Final energy: -4.927 eV/atom
- Calculated formation energy: -0.598 eV/atom

Here is crystalline TcNiSe2 at its relaxed geometry from the Alexandria database. Energies are from PBE.

Structure (POSCAR):
```
TcNiSe2
1.0
-1.034 2.716 1.301
-1.971 -2.027 -1.464
-1.210 -3.682 6.727
Ni Se Tc
1 2 1
direct
0.500 0.500 0.750 Ni
0.000 0.000 0.992 Se
0.000 0.000 0.508 Se
0.500 0.500 0.250 Tc
```

- Magnetic moment: 0.00 μB per formula unit
- Final energy: -5.300 eV/atom
- Energy relative to the lowest polymorph listed for this composition: 756 meV/atom

Here is crystalline ZrTiHgN at its relaxed geometry from the Alexandria database. Energies are from PBE.

Structure (POSCAR):
```
ZrTiHgN
1.0
-0.407 -1.925 2.548
2.315 -0.636 -2.146
4.104 5.534 2.787
Zr Ti Hg N
1 1 1 1
direct
0.079 0.937 0.031 Zr
0.529 0.163 0.708 Ti
0.977 0.387 0.377 Hg
0.293 0.544 0.853 N
```

- Magnetic moment: 0.00 μB per formula unit
- Final energy: -7.198 eV/atom

Here is crystalline BaLiMg6 at its relaxed geometry from the Alexandria database. Energies are from PBE.

Structure (POSCAR):
```
BaLiMg6
1.0
3.212 -6.674 0.000
3.212 6.674 0.000
0.000 0.000 5.205
Ba Li Mg
1 1 6
direct
0.702 0.298 0.500 Ba
0.120 0.880 0.500 Li
0.199 0.327 0.500 Mg
0.673 0.801 0.500 Mg
0.319 0.182 0.000 Mg
0.818 0.681 0.000 Mg
0.297 0.703 0.000 Mg
0.873 0.127 0.000 Mg
```

- Magnetic moment: 0.00 μB per formula unit
- Final energy: -1.601 eV/atom
- Energy relative to the lowest polymorph listed for this composition: 70 meV/atom
- Calculated formation energy: 0.074 eV/atom

Here is crystalline NaCdGaCu at its relaxed geometry from the Alexandria database. Energies are from PBE.

Structure (POSCAR):
```
NaCdGaCu
1.0
-1.915 2.635 -3.395
-4.626 0.859 0.015
-1.588 4.318 0.987
Na Cu Ga Cd
1 1 1 1
direct
0.500 0.500 0.500 Na
0.000 0.000 0.000 Cu
0.250 0.250 0.250 Ga
0.750 0.750 0.750 Cd
```

- Magnetic moment: 0.00 μB per formula unit
- Final energy: -2.266 eV/atom
- Calculated formation energy: 0.073 eV/atom

Here is crystalline CrRhAu at its relaxed geometry from the Alexandria database. Energies are from PBE.

Structure (POSCAR):
```
CrRhAu
1.0
-5.292 2.416 -1.434
-5.931 0.564 0.637
-0.282 2.158 1.842
Au Cr Rh
1 1 1
direct
0.995 0.995 0.005 Au
0.321 0.321 0.679 Cr
0.684 0.684 0.316 Rh
```

- Magnetic moment: 2.53 μB per formula unit
- Final energy: -6.684 eV/atom
- Energy relative to the lowest polymorph listed for this composition: 0 meV/atom
- Calculated formation energy: 0.067 eV/atom

Here is crystalline Ta2PIr at its relaxed geometry from the Alexandria database. Energies are from PBE.

Structure (POSCAR):
```
Ta2PIr
1.0
3.326 0.000 0.000
0.000 3.326 0.000
0.000 0.000 5.948
Ta P Ir
2 1 1
direct
0.000 0.000 0.955 Ta
0.500 0.500 0.282 Ta
0.500 0.500 0.784 P
0.000 0.000 0.478 Ir
```

- Magnetic moment: 0.00 μB per formula unit
- Final energy: -9.890 eV/atom
- Calculated formation energy: -0.396 eV/atom

Here is crystalline CaCd4Ga2 at its relaxed geometry from the Alexandria database. Energies are from PBE.

Structure (POSCAR):
```
CaCd4Ga2
1.0
-2.419 3.294 1.746
-3.714 -2.457 -0.512
2.897 -1.859 7.522
Ca Cd Ga
1 4 2
direct
0.000 0.000 0.000 Ca
0.500 0.822 0.645 Cd
0.000 0.682 0.364 Cd
0.500 0.178 0.355 Cd
0.000 0.318 0.636 Cd
0.500 0.577 0.155 Ga
0.500 0.423 0.845 Ga
```

- Magnetic moment: 0.00 μB per formula unit
- Final energy: -1.881 eV/atom
- Calculated formation energy: -0.207 eV/atom

Here is crystalline LiPu2AlO8 at its relaxed geometry from the Alexandria database. Energies are from PBE.

Structure (POSCAR):
```
LiPu2AlO8
1.0
-3.322 -2.861 1.400
2.192 -3.568 -1.908
3.348 -1.047 5.804
Li Pu Al O
1 2 1 8
direct
0.000 0.000 0.500 Li
0.500 0.500 0.752 Pu
0.500 0.500 0.248 Pu
0.000 0.000 0.000 Al
0.199 0.800 0.224 O
0.712 0.713 0.000 O
0.801 0.200 0.224 O
0.801 0.200 0.776 O
0.288 0.287 0.000 O
0.199 0.800 0.776 O
0.690 0.691 0.500 O
0.310 0.309 0.500 O
```

- Magnetic moment: 4.00 μB per formula unit
- Final energy: -8.666 eV/atom

Here is crystalline LaGaPRh6 at its relaxed geometry from the Alexandria database. Energies are from PBE.

Structure (POSCAR):
```
LaGaPRh6
1.0
6.086 0.000 0.000
0.000 9.107 0.000
-3.043 -4.554 5.673
La Ga P Rh
2 2 2 12
direct
0.818 0.568 0.637 La
0.182 0.432 0.363 La
0.500 0.000 0.500 Ga
0.000 0.000 0.500 Ga
0.500 0.500 0.000 P
0.500 0.000 0.000 P
0.440 0.690 0.880 Rh
0.923 0.173 0.847 Rh
0.899 0.118 0.260 Rh
0.361 0.642 0.260 Rh
0.361 0.118 0.260 Rh
0.899 0.642 0.260 Rh
0.560 0.310 0.120 Rh
0.077 0.827 0.153 Rh
0.101 0.882 0.740 Rh
0.639 0.358 0.740 Rh
0.639 0.882 0.740 Rh
0.101 0.358 0.740 Rh
```

- Magnetic moment: 0.00 μB per formula unit
- Final energy: -6.681 eV/atom
- Calculated formation energy: -0.295 eV/atom